# 1
Below is a geometry-optimized TlHg2Pb structure, with properties calculated at the PBE-GGA level.

As for the energy of formation from the pure elements: 0.11 eV per formula unit. The value obtained for the spin magnetization is 0.00 μB per cell.

CIF file:
```
data_TlHg2Pb
_cell_length_a 3.383
_cell_length_b 5.869
_cell_length_c 12.479
_cell_angle_alpha 90.00
_cell_angle_beta 90.00
_cell_angle_gamma 90.00
_symmetry_space_group_name_H-M 'I m m m'
_symmetry_Int_Tables_number 71
_symmetry_space_group_name_Hall '-I 2 2'
loop_
_atom_site_label
_atom_site_type_symbol
_atom_site_fract_x
_atom_site_fract_y
_atom_site_fract_z
Tl1 Tl 0.000 0.000 0.000
Hg1 Hg 0.000 0.000 0.250
Pb1 Pb 0.000 0.000 0.500
```

# 2
Below is a geometry-optimized Tl7HgPb5 structure, with properties calculated at the PBE-GGA level.

As for the energy of formation from the pure elements: 0.67 eV per formula unit. The value obtained for the spin magnetization is 0.00 μB per cell.

CIF file:
```
data_Tl7HgPb5
_cell_length_a 11.763
_cell_length_b 12.826
_cell_length_c 6.423
_cell_angle_alpha 90.00
_cell_angle_beta 121.53
_cell_angle_gamma 90.00
_symmetry_space_group_name_H-M 'C 1 m 1'
_symmetry_Int_Tables_number 8
_symmetry_space_group_name_Hall 'C -2y'
loop_
_atom_site_label
_atom_site_type_symbol
_atom_site_fract_x
_atom_site_fract_y
_atom_site_fract_z
Tl1 Tl 0.000 0.000 0.000
Tl2 Tl 0.047 0.500 0.047
Tl3 Tl 0.142 0.500 0.622
Tl4 Tl 0.318 0.370 0.202
Tl5 Tl 0.321 0.137 0.065
Hg1 Hg 0.324 0.000 0.488
Pb1 Pb 0.089 0.000 0.603
Pb2 Pb 0.148 0.234 0.410
Pb3 Pb 0.496 0.245 0.759
```

# 3
Below is a geometry-optimized Tl6HgPb structure, with properties calculated at the PBE-GGA level.

For the energy above the most stable polymorph in this dataset, the calculation gives 0.143 eV per atom. As for the energy of formation from the pure elements: 1.22 eV per formula unit. The value obtained for the spin magnetization is 0.00 μB per cell.

CIF file:
```
data_Tl6HgPb
_cell_length_a 9.7874
_cell_length_b 9.7874
_cell_length_c 10.0818
_cell_angle_alpha 90.00
_cell_angle_beta 90.00
_cell_angle_gamma 120.00
_symmetry_space_group_name_H-M 'R -3 m'
_symmetry_Int_Tables_number 166
_symmetry_space_group_name_Hall '-R 3 2"'
loop_
_atom_site_label
_atom_site_type_symbol
_atom_site_fract_x
_atom_site_fract_y
_atom_site_fract_z
Tl1 Tl 0.0653 0.5326 0.3549
Hg1 Hg 0.0000 0.0000 0.5000
Pb1 Pb 0.0000 0.0000 0.0000
```

# 4
Below is a geometry-optimized Tl3Hg4Pb structure, with properties calculated at the PBE-GGA level.

For the energy above the most stable polymorph in this dataset, the calculation gives 0.028 eV per atom. As for the energy of formation from the pure elements: 0.30 eV per formula unit. The value obtained for the spin magnetization is 0.00 μB per cell.

CIF file:
```
data_Tl3Hg4Pb
_cell_length_a 6.411
_cell_length_b 11.508
_cell_length_c 6.446
_cell_angle_alpha 90.00
_cell_angle_beta 90.00
_cell_angle_gamma 90.00
_symmetry_space_group_name_H-M 'I m m 2'
_symmetry_Int_Tables_number 44
_symmetry_space_group_name_Hall 'I 2 -2'
loop_
_atom_site_label
_atom_site_type_symbol
_atom_site_fract_x
_atom_site_fract_y
_atom_site_fract_z
Tl1 Tl 0.000 0.000 0.000
Tl2 Tl 0.000 0.268 0.776
Hg1 Hg 0.000 0.236 0.276
Hg2 Hg 0.245 0.000 0.497
Pb1 Pb 0.000 0.500 0.445
```

# 5
Below is a geometry-optimized Tl2Hg8Pb structure, with properties calculated at the PBE-GGA level.

As for the energy of formation from the pure elements: 0.15 eV per formula unit. The value obtained for the spin magnetization is 0.00 μB per cell.

CIF file:
```
data_Tl2Hg8Pb
_cell_length_a 5.142
_cell_length_b 5.142
_cell_length_c 12.248
_cell_angle_alpha 90.00
_cell_angle_beta 90.00
_cell_angle_gamma 90.00
_symmetry_space_group_name_H-M 'P 4/m m m'
_symmetry_Int_Tables_number 123
_symmetry_space_group_name_Hall '-P 4 2'
loop_
_atom_site_label
_atom_site_type_symbol
_atom_site_fract_x
_atom_site_fract_y
_atom_site_fract_z
Tl1 Tl 0.000 0.000 0.170
Hg1 Hg 0.000 0.500 0.000
Hg2 Hg 0.000 0.500 0.348
Hg3 Hg 0.500 0.500 0.181
Pb1 Pb 0.000 0.000 0.500
```

# 6
Below is a geometry-optimized TlHg7Pb12 structure, with properties calculated at the PBE-GGA level.

As for the energy of formation from the pure elements: 1.11 eV per formula unit. The value obtained for the spin magnetization is 0.00 μB per cell.

CIF file:
```
data_TlHg7Pb12
_cell_length_a 14.8589
_cell_length_b 14.8589
_cell_length_c 9.4234
_cell_angle_alpha 90.00
_cell_angle_beta 90.00
_cell_angle_gamma 120.00
_symmetry_space_group_name_H-M 'R -3'
_symmetry_Int_Tables_number 148
_symmetry_space_group_name_Hall '-R 3'
loop_
_atom_site_label
_atom_site_type_symbol
_atom_site_fract_x
_atom_site_fract_y
_atom_site_fract_z
Tl1 Tl 0.0000 0.0000 0.0000
Hg1 Hg 0.0000 0.0000 0.5000
Hg2 Hg 0.0338 0.1800 0.7594
Pb1 Pb 0.0167 0.2402 0.0748
Pb2 Pb 0.0707 0.2509 0.4418
```

# 7
Below is a geometry-optimized TlHgPb structure, with properties calculated at the PBE-GGA level.

For the energy above the most stable polymorph in this dataset, the calculation gives 0.110 eV per atom. As for the energy of formation from the pure elements: 0.30 eV per formula unit. The value obtained for the spin magnetization is 0.00 μB per cell.

CIF file:
```
data_TlHgPb
_cell_length_a 7.310
_cell_length_b 7.310
_cell_length_c 7.310
_cell_angle_alpha 90.00
_cell_angle_beta 90.00
_cell_angle_gamma 90.00
_symmetry_space_group_name_H-M 'F -4 3 m'
_symmetry_Int_Tables_number 216
_symmetry_space_group_name_Hall 'F -4 2 3'
loop_
_atom_site_label
_atom_site_type_symbol
_atom_site_fract_x
_atom_site_fract_y
_atom_site_fract_z
Tl1 Tl 0.000 0.000 0.000
Hg1 Hg 0.250 0.250 0.750
Pb1 Pb 0.000 0.000 0.500
```

# 8
Below is a geometry-optimized TlHg2Pb structure, with properties calculated at the PBE-GGA level.

As for the energy of formation from the pure elements: 0.06 eV per formula unit. The value obtained for the spin magnetization is 0.00 μB per cell.

CIF file:
```
data_TlHg2Pb
_cell_length_a 3.855
_cell_length_b 5.435
_cell_length_c 10.865
_cell_angle_alpha 90.00
_cell_angle_beta 90.00
_cell_angle_gamma 90.00
_symmetry_space_group_name_H-M 'I m m 2'
_symmetry_Int_Tables_number 44
_symmetry_space_group_name_Hall 'I 2 -2'
loop_
_atom_site_label
_atom_site_type_symbol
_atom_site_fract_x
_atom_site_fract_y
_atom_site_fract_z
Tl1 Tl 0.000 0.000 0.000
Hg1 Hg 0.000 0.000 0.484
Hg2 Hg 0.000 0.500 0.752
Pb1 Pb 0.000 0.500 0.232
```

# 9
Below is a geometry-optimized Tl6HgPb3 structure, with properties calculated at the PBE-GGA level.

For the energy above the most stable polymorph in this dataset, the calculation gives 0.032 eV per atom. As for the energy of formation from the pure elements: 0.44 eV per formula unit. The value obtained for the spin magnetization is 0.00 μB per cell.

CIF file:
```
data_Tl6HgPb3
_cell_length_a 6.1872
_cell_length_b 6.1872
_cell_length_c 9.8014
_cell_angle_alpha 90.00
_cell_angle_beta 90.00
_cell_angle_gamma 120.00
_symmetry_space_group_name_H-M 'P -3 1 m'
_symmetry_Int_Tables_number 162
_symmetry_space_group_name_Hall '-P 3 2'
loop_
_atom_site_label
_atom_site_type_symbol
_atom_site_fract_x
_atom_site_fract_y
_atom_site_fract_z
Tl1 Tl 0.0000 0.3741 0.2972
Hg1 Hg 0.0000 0.0000 0.5000
Pb1 Pb 0.0000 0.0000 0.0000
Pb2 Pb 0.3333 0.6667 0.0000
```

# 10
Below is a geometry-optimized TlHg14Pb structure, with properties calculated at the PBE-GGA level.

As for the energy of formation from the pure elements: 0.07 eV per formula unit. The value obtained for the spin magnetization is 0.00 μB per cell.

CIF file:
```
data_TlHg14Pb
_cell_length_a 10.716
_cell_length_b 7.671
_cell_length_c 10.772
_cell_angle_alpha 90.00
_cell_angle_beta 90.00
_cell_angle_gamma 90.00
_symmetry_space_group_name_H-M 'A m m 2'
_symmetry_Int_Tables_number 38
_symmetry_space_group_name_Hall 'A 2 -2'
loop_
_atom_site_label
_atom_site_type_symbol
_atom_site_fract_x
_atom_site_fract_y
_atom_site_fract_z
Tl1 Tl 0.000 0.000 0.000
Hg1 Hg 0.000 0.220 0.269
Hg2 Hg 0.254 0.000 0.724
Hg3 Hg 0.256 0.238 0.461
Hg4 Hg 0.260 0.000 0.203
Hg5 Hg 0.500 0.000 0.480
Hg6 Hg 0.500 0.000 0.989
Hg7 Hg 0.500 0.242 0.734
Pb1 Pb 0.000 0.000 0.542
```